1.
# Ca2TaCd, optimized geometry, DFT PBE
# ΔE_f	0.552	eV/atom
data_Ca2TaCd
_cell_length_a 10.9415
_cell_length_b 3.1906
_cell_length_c 5.9144
_cell_angle_alpha 90.00
_cell_angle_beta 99.81
_cell_angle_gamma 90.00
_symmetry_space_group_name_H-M 'C 1 2/m 1'
_symmetry_Int_Tables_number 12
loop_
_symmetry_equiv_pos_as_xyz
'x,y,z'
'-x,-y,-z'
'-x,y,-z'
'x,-y,z'
'x+1/2,y+1/2,z'
'-x+1/2,-y+1/2,-z'
'-x+1/2,y+1/2,-z'
'x+1/2,-y+1/2,z'
loop_
_atom_site_label
_atom_site_type_symbol
_atom_site_fract_x
_atom_site_fract_y
_atom_site_fract_z
Ca1 Ca 0.2498 0.0000 0.2405
Ta1 Ta 0.0000 0.5000 0.0000
Cd1 Cd 0.0000 0.0000 0.5000

---

2.
# AlZnTc2, optimized geometry, DFT PBE
# ΔE_f	-0.023	eV/atom
# offset from the most stable computed form	71	kJ/mol of formula units
data_AlZnTc2
_cell_length_a 3.1439
_cell_length_b 4.3297
_cell_length_c 8.4961
_cell_angle_alpha 90.00
_cell_angle_beta 90.00
_cell_angle_gamma 90.00
_symmetry_space_group_name_H-M 'I m m m'
_symmetry_Int_Tables_number 71
_symmetry_space_group_name_Hall '-I 2 2'
loop_
_atom_site_label
_atom_site_type_symbol
_atom_site_fract_x
_atom_site_fract_y
_atom_site_fract_z
Al1 Al 0.0000 0.0000 0.0000
Zn1 Zn 0.0000 0.0000 0.5000
Tc1 Tc 0.0000 0.5000 0.2518

---

3.
# Li4Tl3Pd3, optimized geometry, DFT PBE
# ΔE_f	-0.289	eV/atom
data_Li4Tl3Pd3
_cell_length_a 9.1542
_cell_length_b 9.1542
_cell_length_c 9.1542
_cell_angle_alpha 90.00
_cell_angle_beta 90.00
_cell_angle_gamma 90.00
_symmetry_space_group_name_H-M 'I -4 3 d'
_symmetry_Int_Tables_number 220
_symmetry_space_group_name_Hall 'I -4bd 2c 3'
loop_
_atom_site_label
_atom_site_type_symbol
_atom_site_fract_x
_atom_site_fract_y
_atom_site_fract_z
Li1 Li 0.0999 0.0999 0.0999
Tl1 Tl 0.0000 0.2500 0.3750
Pd1 Pd 0.0000 0.2500 0.8750

---

4.
# BaCu2Ru, optimized geometry, DFT PBE
# ΔE_f	0.759	eV/atom
# offset from the most stable computed form	216	kJ/mol of formula units
data_BaCu2Ru
_cell_length_a 4.2310
_cell_length_b 4.2310
_cell_length_c 8.5363
_cell_angle_alpha 90.00
_cell_angle_beta 90.00
_cell_angle_gamma 90.00
_symmetry_space_group_name_H-M 'I -4 m 2'
_symmetry_Int_Tables_number 119
_symmetry_space_group_name_Hall 'I -4 -2'
loop_
_atom_site_label
_atom_site_type_symbol
_atom_site_fract_x
_atom_site_fract_y
_atom_site_fract_z
Ba1 Ba 0.0000 0.0000 0.0000
Cu1 Cu 0.0000 0.0000 0.5000
Cu2 Cu 0.0000 0.5000 0.7500
Ru1 Ru 0.0000 0.5000 0.2500

---

5.
# NbReAsSe2, optimized geometry, DFT PBE
# offset from the most stable computed form	0	kJ/mol of formula units
data_NbReAsSe2
_cell_length_a 4.9152
_cell_length_b 4.9152
_cell_length_c 4.7514
_cell_angle_alpha 90.00
_cell_angle_beta 90.00
_cell_angle_gamma 90.00
_symmetry_space_group_name_H-M 'P 4/m m m'
_symmetry_Int_Tables_number 123
_symmetry_space_group_name_Hall '-P 4 2'
loop_
_atom_site_label
_atom_site_type_symbol
_atom_site_fract_x
_atom_site_fract_y
_atom_site_fract_z
Nb1 Nb 0.0000 0.0000 0.0000
Re1 Re 0.5000 0.5000 0.5000
As1 As 0.5000 0.5000 0.0000
Se1 Se 0.0000 0.5000 0.5000

---

6.
# Be2NbZn2, optimized geometry, DFT PBE
# ΔE_f	0.073	eV/atom
# offset from the most stable computed form	1	kJ/mol of formula units
data_Be2NbZn2
_cell_length_a 3.7220
_cell_length_b 3.7220
_cell_length_c 9.2236
_cell_angle_alpha 90.00
_cell_angle_beta 90.00
_cell_angle_gamma 90.00
_symmetry_space_group_name_H-M 'I 4/m m m'
_symmetry_Int_Tables_number 139
_symmetry_space_group_name_Hall '-I 4 2'
loop_
_atom_site_label
_atom_site_type_symbol
_atom_site_fract_x
_atom_site_fract_y
_atom_site_fract_z
Be1 Be 0.0000 0.5000 0.2500
Nb1 Nb 0.0000 0.0000 0.0000
Zn1 Zn 0.0000 0.0000 0.3760

---

7.
# DyThFeAg, optimized geometry, DFT PBE
# ΔE_f	0.026	eV/atom
data_DyThFeAg
_cell_length_a 7.1577
_cell_length_b 7.1577
_cell_length_c 7.1577
_cell_angle_alpha 90.00
_cell_angle_beta 90.00
_cell_angle_gamma 90.00
_symmetry_space_group_name_H-M 'F -4 3 m'
_symmetry_Int_Tables_number 216
_symmetry_space_group_name_Hall 'F -4 2 3'
loop_
_atom_site_label
_atom_site_type_symbol
_atom_site_fract_x
_atom_site_fract_y
_atom_site_fract_z
Dy1 Dy 0.0000 0.0000 0.0000
Th1 Th 0.0000 0.0000 0.5000
Fe1 Fe 0.2500 0.2500 0.2500
Ag1 Ag 0.2500 0.2500 0.7500

---

8.
# B2C, optimized geometry, DFT PBE
# ΔE_f	0.448	eV/atom
# offset from the most stable computed form	76	kJ/mol of formula units
data_B2C
_cell_length_a 13.3340
_cell_length_b 2.6242
_cell_length_c 5.1916
_cell_angle_alpha 90.00
_cell_angle_beta 108.44
_cell_angle_gamma 90.00
_symmetry_space_group_name_H-M 'C 1 m 1'
_symmetry_Int_Tables_number 8
loop_
_symmetry_equiv_pos_as_xyz
'x,y,z'
'x,-y,z'
'x+1/2,y+1/2,z'
'x+1/2,-y+1/2,z'
loop_
_atom_site_label
_atom_site_type_symbol
_atom_site_fract_x
_atom_site_fract_y
_atom_site_fract_z
B1 B 0.0000 0.0000 0.0000
B2 B 0.0108 0.0000 0.6447
B3 B 0.0338 0.5000 0.2420
B4 B 0.1350 0.0000 0.0654
B5 B 0.1726 0.5000 0.7419
B6 B 0.2535 0.0000 0.6847
B7 B 0.3270 0.5000 0.1760
B8 B 0.3988 0.0000 0.9784
C1 C 0.0562 0.5000 0.5465
C2 C 0.1982 0.5000 0.0709
C3 C 0.3494 0.0000 0.6064
C4 C 0.3798 0.5000 0.4976

---

9.
# K3GeS3, optimized geometry, DFT PBE
# offset from the most stable computed form	182	kJ/mol of formula units
data_K3GeS3
_cell_length_a 9.6611
_cell_length_b 16.6935
_cell_length_c 6.3230
_cell_angle_alpha 90.00
_cell_angle_beta 90.00
_cell_angle_gamma 90.00
_symmetry_space_group_name_H-M 'C m c m'
_symmetry_Int_Tables_number 63
_symmetry_space_group_name_Hall '-C 2c 2'
loop_
_atom_site_label
_atom_site_type_symbol
_atom_site_fract_x
_atom_site_fract_y
_atom_site_fract_z
K1 K 0.0000 0.1821 0.2500
K2 K 0.2258 0.4088 0.2500
Ge1 Ge 0.0000 0.3332 0.7500
S1 S 0.0000 0.1995 0.7500
S2 S 0.1998 0.4001 0.7500

---

10.
# NbGe2Ru2, optimized geometry, DFT PBE
# ΔE_f	-0.207	eV/atom
data_NbGe2Ru2
_cell_length_a 7.2317
_cell_length_b 7.2317
_cell_length_c 2.9003
_cell_angle_alpha 90.00
_cell_angle_beta 90.00
_cell_angle_gamma 90.00
_symmetry_space_group_name_H-M 'P 4/m b m'
_symmetry_Int_Tables_number 127
_symmetry_space_group_name_Hall '-P 4 2ab'
loop_
_atom_site_label
_atom_site_type_symbol
_atom_site_fract_x
_atom_site_fract_y
_atom_site_fract_z
Nb1 Nb 0.0000 0.0000 0.0000
Ge1 Ge 0.1482 0.3518 0.0000
Ru1 Ru 0.1490 0.6490 0.5000

---

11.
# ScMo2Rh, optimized geometry, DFT PBE
# ΔE_f	0.077	eV/atom
# offset from the most stable computed form	114	kJ/mol of formula units
data_ScMo2Rh
_cell_length_a 3.0505
_cell_length_b 3.0505
_cell_length_c 25.3503
_cell_angle_alpha 90.00
_cell_angle_beta 90.00
_cell_angle_gamma 120.00
_symmetry_space_group_name_H-M 'R 3 m'
_symmetry_Int_Tables_number 160
_symmetry_space_group_name_Hall 'R 3 -2"'
loop_
_atom_site_label
_atom_site_type_symbol
_atom_site_fract_x
_atom_site_fract_y
_atom_site_fract_z
Sc1 Sc 0.0000 0.0000 0.0000
Mo1 Mo 0.0000 0.0000 0.4995
Mo2 Mo 0.0000 0.0000 0.7585
Rh1 Rh 0.0000 0.0000 0.2489

---

12.
# La2FeAg, optimized geometry, DFT PBE
# ΔE_f	0.110	eV/atom
data_La2FeAg
_cell_length_a 12.4355
_cell_length_b 3.5396
_cell_length_c 4.8807
_cell_angle_alpha 90.00
_cell_angle_beta 112.97
_cell_angle_gamma 90.00
_symmetry_space_group_name_H-M 'C 1 m 1'
_symmetry_Int_Tables_number 8
loop_
_symmetry_equiv_pos_as_xyz
'x,y,z'
'x,-y,z'
'x+1/2,y+1/2,z'
'x+1/2,-y+1/2,z'
loop_
_atom_site_label
_atom_site_type_symbol
_atom_site_fract_x
_atom_site_fract_y
_atom_site_fract_z
La1 La 0.0000 0.0000 0.0000
La2 La 0.1957 0.0000 0.6949
Fe1 Fe 0.2295 0.5000 0.2276
Ag1 Ag 0.4074 0.0000 0.4077

---

Q: Number 6 is which compound?
A: Be2NbZn2